# TeW2N2

A geometry-optimized TeW2N2 structure (GGA-PBE, Alexandria).

E_form (uncorrected) (meV/atom): 272
Energy relative to the lowest polymorph listed for this composition (meV/atom): 0.0
D(E_F) (states/eV/cell): 3.89
Size of the total moment (μB/f.u.): 0.0

Structure (POSCAR):
```
TeW2N2
1.0
-2.0001 2.0001 4.9566
2.0001 -2.0001 4.9566
2.0001 2.0001 -4.9566
Te W N
1 2 2
direct
0.0000 0.0000 0.0000
0.2500 0.7500 0.5000
0.7500 0.2500 0.5000
0.3069 0.3069 0.0000
0.6931 0.6931 0.0000
```